(1)
DFT (GGA-PBE) results for crystalline CdAs2Pd8 at its relaxed geometry.

Cell lengths 4.948, 5.675, 7.312 Å; angles 109.11, 105.74, 100.18 degrees
Fractional coordinates of all 11 atoms:
Pd (0.276, 0.854, 0.297)
Pd (0.937, 0.000, 0.555)
Pd (0.291, 0.357, 0.263)
Pd (0.486, 0.763, 0.671)
Pd (0.787, 0.287, 0.908)
Pd (0.315, 0.484, 0.910)
Pd (0.887, 0.464, 0.522)
Pd (0.725, 0.001, 0.147)
Cd (0.110, 0.907, 0.909)
As (0.432, 0.284, 0.592)
As (0.753, 0.599, 0.226)

Summary:
- calculated volume (A^3/atom) = 16.234
- magnetization (Bohr magnetons per cell) = 0.00
- symmetry = No. 1
- E above lowest polymorph (meV/atom) = 0
- ΔE_f (eV/atom) = -0.32



(2)
DFT (GGA-PBE) results for crystalline CdAs2Pd4 at its relaxed geometry.

Cell lengths 4.546, 4.545, 13.178 Å; angles 90.00, 90.00, 120.01 degrees
Fractional coordinates of all 14 atoms:
As (0.834, 0.667, 0.937)
As (0.166, 0.333, 0.437)
As (0.834, 0.667, 0.563)
As (0.166, 0.333, 0.063)
Cd (0.499, 0.999, 0.250)
Cd (0.501, 0.001, 0.750)
Pd (0.167, 0.335, 0.864)
Pd (0.834, 0.668, 0.750)
Pd (0.833, 0.665, 0.364)
Pd (0.500, 0.000, 0.500)
Pd (0.167, 0.335, 0.636)
Pd (0.166, 0.332, 0.250)
Pd (0.833, 0.665, 0.136)
Pd (0.500, 0.000, 0.000)

Summary:
- calculated volume (A^3/atom) = 16.840
- magnetization (Bohr magnetons per cell) = 0.00
- symmetry = No. 63
- E above lowest polymorph (meV/atom) = 87
- ΔE_f (eV/atom) = -0.25



(3)
DFT (GGA-PBE) results for crystalline CdAs2Pd2 at its relaxed geometry.

Cell lengths 3.808, 3.808, 7.028 Å; angles 74.28, 74.28, 90.00 degrees
Fractional coordinates of all 5 atoms:
Pd (0.605, 0.605, 0.790)
Pd (0.395, 0.395, 0.210)
As (0.750, 0.250, 0.500)
As (0.250, 0.750, 0.500)
Cd (0.000, 0.000, 0.000)

Summary:
- calculated volume (A^3/atom) = 18.831
- magnetization (Bohr magnetons per cell) = 0.00
- symmetry = No. 139
- E above lowest polymorph (meV/atom) = 57
- ΔE_f (eV/atom) = -0.10